Record 1
{"formula": "TiZnCl2", "functional": "GGA-PBEsol", "state": "relaxed", "final_energy_ev_per_atom": -4.3488, "spacegroup": "R-3m (166)", "total_magnetization_mub_per_fu": 0.0, "e_form_raw_mev_per_atom": -869, "cell": [[-1.8480, -1.1174, -2.2277], [-0.0784, -3.0496, -0.5659], [-7.6254, -2.3766, 5.3572]], "species": ["Zn", "Cl", "Cl", "Ti"], "fractional_positions": [[0.0000, 0.0000, 0.0000], [0.8914, 0.8914, 0.3257], [0.1086, 0.1086, 0.6743], [0.5000, 0.5000, 0.5000]]}

=====

Record 2
{"formula": "Tl2Cl", "functional": "GGA-PBEsol", "state": "relaxed", "final_energy_ev_per_atom": -2.8248, "spacegroup": "Pnnm (58)", "total_magnetization_mub_per_fu": 0.0, "e_form_raw_mev_per_atom": -402, "cell": [[3.4632, 0.0000, 0.0000], [0.0000, 8.5243, 0.0000], [0.0000, 0.0000, 5.7320]], "species": ["Cl", "Cl", "Tl", "Tl", "Tl", "Tl"], "fractional_positions": [[0.0000, 0.0000, 0.0000], [0.5000, 0.5000, 0.5000], [0.0000, 0.2002, 0.4957], [0.0000, 0.7998, 0.5043], [0.5000, 0.7002, 0.0043], [0.5000, 0.2998, 0.9957]]}

=====

Record 3
{"formula": "TlCl4", "functional": "GGA-PBEsol", "state": "relaxed", "final_energy_ev_per_atom": -2.2139, "spacegroup": "Im-3m (229)", "total_magnetization_mub_per_fu": 0.0, "e_form_raw_mev_per_atom": -82, "cell": [[-3.1339, -2.2501, -3.9425], [-1.5578, -1.9451, 4.9211], [-0.5966, 5.4832, -0.0826]], "species": ["Tl", "Cl", "Cl", "Cl", "Cl"], "fractional_positions": [[0.0000, 0.0000, 0.0000], [0.0000, 0.0000, 0.5000], [0.0000, 0.5000, 0.0000], [0.5000, 0.0000, 0.0000], [0.5000, 0.5000, 0.5000]]}

=====

Record 4
{"formula": "Tl2Cl", "functional": "GGA-PBEsol", "state": "relaxed", "final_energy_ev_per_atom": -2.8450, "spacegroup": "I4/mmm (139)", "total_magnetization_mub_per_fu": 0.0, "e_form_raw_mev_per_atom": -422, "cell": [[-2.6970, 2.3885, 1.4399], [-2.7888, -2.3336, -1.3524], [2.7888, -2.7359, 4.5352]], "species": ["Tl", "Tl", "Cl"], "fractional_positions": [[0.3413, 0.3413, 0.6826], [0.6587, 0.6587, 0.3174], [0.0000, 0.0000, 0.0000]]}

=====

| no. | D(E_F) (states/eV per cell) | theoretical density (g/cm³) |
| --- | --- | --- |
| 1 | 2.00 | 3.9 |
| 2 | 2.96 | 8.7 |
| 3 | 6.30 | 4.4 |
| 4 | 1.58 | 9.2 |